Record 1
A plane-wave DFT calculation with PBE-GGA was carried out for a relaxed Co2AgHg crystal.

Calculated values
* symmetry: No. 123
* calculated volume: 15.31 Å³ per atom
* E_tot: -3.799 eV/atom

a b c (Å): 2.8306 2.8306 7.6454
angles (deg): 90.00 90.00 90.00
Last column: nearest neighbours and their distance in Å.
Atoms (fractional coordinates):
Ag1 0.5000 0.5000 0.7500  8 Co 2.72, 4 Ag 2.83
Co1 0.0000 0.0000 0.9918  4 Ag 2.72, 4 Hg 2.81, 4 Co 2.83
Co2 0.0000 0.0000 0.5082  4 Ag 2.72, 4 Hg 2.81, 4 Co 2.83
Hg1 0.5000 0.5000 0.2500  8 Co 2.81, 4 Hg 2.83

Record 2
A plane-wave DFT calculation with PBE-GGA was carried out for a relaxed CoAgHg crystal.

Calculated values
* symmetry: No. 216
* calculated volume: 19.31 Å³ per atom
* energy above the lowest structure with this stoichiometry: 0.1980 eV per atom
* E_tot: -2.816 eV/atom

a b c (Å): 4.3431 4.3431 4.3431
angles (deg): 60.00 60.00 60.00
Last column: nearest neighbours and their distance in Å.
Atoms (fractional coordinates):
Ag1 0.5000 0.5000 0.5000  4 Co 2.66
Co1 0.7500 0.7500 0.7500  4 Ag 2.66, 4 Hg 2.66
Hg1 0.0000 0.0000 0.0000  4 Co 2.66

Record 3
A plane-wave DFT calculation with PBE-GGA was carried out for a relaxed CoAg2Hg crystal.

Calculated values
* symmetry: No. 25
* calculated volume: 17.15 Å³ per atom
* E_tot: -2.938 eV/atom

a b c (Å): 3.7523 2.9596 6.8492
angles (deg): 64.38 90.00 90.00
Last column: nearest neighbours and their distance in Å.
Atoms (fractional coordinates):
Ag1 0.0000 0.9872 0.0126  6 Ag 2.86-2.96, 4 Hg 2.96, 1 Co 2.97
Ag2 0.5000 0.2337 0.2661  4 Co 2.77, 1 Hg 2.86, 6 Ag 2.86-2.96
Co1 0.0000 0.5074 0.4929  5 Ag 2.77-2.97, 4 Hg 2.80, 2 Co 2.96
Hg1 0.5000 0.7717 0.7284  4 Co 2.80, 5 Ag 2.86-2.96, 2 Hg 2.96

Record 4
A plane-wave DFT calculation with PBE-GGA was carried out for a relaxed CoAg2Hg crystal.

Calculated values
* symmetry: No. 123
* calculated volume: 17.33 Å³ per atom
* E_tot: -2.939 eV/atom

a b c (Å): 2.9382 2.9382 8.0309
angles (deg): 90.00 90.00 89.98
Last column: nearest neighbours and their distance in Å.
Atoms (fractional coordinates):
Ag1 0.0000 0.0000 0.0311  4 Co 2.72, 4 Ag 2.94
Ag2 0.0000 0.0000 0.4689  4 Co 2.72, 4 Ag 2.94
Co1 0.5000 0.5000 0.2500  8 Ag 2.72, 4 Co 2.94
Hg1 0.5000 0.5000 0.7500  4 Hg 2.94, 8 Ag 3.07

Record 5
A plane-wave DFT calculation with PBE-GGA was carried out for a relaxed Co2AgHg crystal.

Calculated values
* symmetry: No. 65
* calculated volume: 15.28 Å³ per atom
* E_tot: -3.821 eV/atom

a b c (Å): 4.7802 4.7802 2.8192
angles (deg): 90.00 90.00 108.41
Last column: nearest neighbours and their distance in Å.
Atoms (fractional coordinates):
Ag1 0.0000 0.5000 0.5000  8 Co 2.77, 2 Hg 2.80, 2 Ag 2.82
Co1 0.0000 0.0000 0.0000  4 Hg 2.77, 4 Ag 2.77, 4 Co 2.80-2.82
Co2 0.5000 0.5000 0.0000  4 Ag 2.77, 4 Hg 2.77, 4 Co 2.80-2.82
Hg1 0.5000 0.0000 0.5000  8 Co 2.77, 2 Ag 2.80, 2 Hg 2.82

Record 6
A plane-wave DFT calculation with PBE-GGA was carried out for a relaxed Co3AgHg crystal.

Calculated values
* symmetry: No. 221
* calculated volume: 21.71 Å³ per atom
* energy above the lowest structure with this stoichiometry: 0.1118 eV per atom
* E_tot: -3.207 eV/atom

a b c (Å): 4.7704 4.7704 4.7704
angles (deg): 90.00 90.00 90.00
Last column: nearest neighbours and their distance in Å.
Atoms (fractional coordinates):
Co1 0.0000 0.5000 0.0000  2 Hg 2.39
Co2 0.0000 0.0000 0.5000  2 Hg 2.39
Co3 0.5000 0.0000 0.0000  2 Hg 2.39
Hg1 0.0000 0.0000 0.0000  6 Co 2.39
Ag1 0.5000 0.5000 0.5000  12 Co 3.37

Record 7
A plane-wave DFT calculation with PBE-GGA was carried out for a relaxed CoAgHg crystal.

Calculated values
* symmetry: No. 156
* calculated volume: 17.01 Å³ per atom
* energy above the lowest structure with this stoichiometry: 0.0846 eV per atom
* E_tot: -2.930 eV/atom

a b c (Å): 4.5624 4.5624 2.8308
angles (deg): 90.00 90.00 120.00
Last column: nearest neighbours and their distance in Å.
Atoms (fractional coordinates):
Ag1 0.0000 0.0000 0.0222  3 Co 2.80, 2 Ag 2.83, 6 Hg 2.87-3.13
Co1 0.6667 0.3333 0.3573  3 Hg 2.74, 3 Ag 2.80, 2 Co 2.83
Hg1 0.3333 0.6667 0.6204  3 Co 2.74, 2 Hg 2.83, 3 Ag 2.87

Record 8
A plane-wave DFT calculation with PBE-GGA was carried out for a relaxed CoAg3Hg crystal.

Calculated values
* symmetry: No. 221
* calculated volume: 22.79 Å³ per atom
* energy above the lowest structure with this stoichiometry: 0.0000 eV per atom
* E_tot: -2.355 eV/atom

a b c (Å): 4.8482 4.8482 4.8482
angles (deg): 90.00 90.00 90.00
Last column: nearest neighbours and their distance in Å.
Atoms (fractional coordinates):
Co1 0.0000 0.0000 0.0000  6 Ag 2.42
Hg1 0.5000 0.5000 0.5000  12 Ag 3.43
Ag1 0.0000 0.5000 0.0000  2 Co 2.42
Ag2 0.0000 0.0000 0.5000  2 Co 2.42
Ag3 0.5000 0.0000 0.0000  2 Co 2.42

Record 9
A plane-wave DFT calculation with PBE-GGA was carried out for a relaxed InCoAg2Hg crystal.

Calculated values
* symmetry: No. 123
* calculated volume: 29.70 Å³ per atom
* E_tot: -1.995 eV/atom

a b c (Å): 5.2100 5.4701 5.2100
angles (deg): 90.00 90.00 90.00
Last column: nearest neighbours and their distance in Å.
Atoms (fractional coordinates):
Co1 0.5000 0.5000 0.5000  4 In 3.68, 8 Ag 3.78
Hg1 0.0000 0.0000 0.0000  4 Ag 2.60, 2 In 2.74
Ag1 0.0000 0.0000 0.5000  2 Hg 2.60
Ag2 0.5000 0.0000 0.0000  2 Hg 2.60
In1 0.0000 0.5000 0.0000  2 Hg 2.74

Record 10
A plane-wave DFT calculation with PBE-GGA was carried out for a relaxed CoAg2HgIr crystal.

Calculated values
* symmetry: No. 123
* calculated volume: 20.48 Å³ per atom
* E_tot: -3.408 eV/atom

a b c (Å): 4.8258 4.3972 4.8258
angles (deg): 90.00 90.00 90.00
Last column: nearest neighbours and their distance in Å.
Atoms (fractional coordinates):
Ir1 0.0000 0.5000 0.0000  2 Co 2.20
Co1 0.0000 0.0000 0.0000  2 Ir 2.20, 4 Ag 2.41
Hg1 0.5000 0.5000 0.5000  8 Ag 3.26, 4 Ir 3.41
Ag1 0.0000 0.0000 0.5000  2 Co 2.41
Ag2 0.5000 0.0000 0.0000  2 Co 2.41

Record 11
A plane-wave DFT calculation with PBE-GGA was carried out for a relaxed La4CoAgHg crystal.

Calculated values
* symmetry: No. 63
* calculated volume: 30.91 Å³ per atom
* E_tot: -4.470 eV/atom

a b c (Å): 7.2966 7.3232 8.8815
angles (deg): 90.00 114.25 90.00
Last column: nearest neighbours and their distance in Å.
Atoms (fractional coordinates):
La1 0.9281 0.2500 0.8562  1 Co 2.92, 1 Hg 3.07
La2 0.4323 0.7500 0.8645  1 Co 2.91, 1 Ag 3.04
La3 0.0719 0.7500 0.1438  1 Co 2.92, 1 Hg 3.07
La4 0.5677 0.2500 0.1355  1 Co 2.91, 1 Ag 3.04
La5 0.5000 0.5000 0.5000  2 Co 2.58
La6 0.0000 0.0000 0.5000  2 Co 2.58
La7 0.5000 0.0000 0.5000  2 Co 2.58
La8 0.0000 0.5000 0.5000  2 Co 2.58
Co1 0.2523 0.7500 0.5047  4 La 2.58
Co2 0.7477 0.2500 0.4953  4 La 2.58
Ag1 0.6201 0.7500 0.2403  5 La 3.04-3.33
Ag2 0.3799 0.2500 0.7597  5 La 3.04-3.33
Hg1 0.1176 0.2500 0.2353  5 La 3.07-3.36
Hg2 0.8824 0.7500 0.7647  5 La 3.07-3.36

Record 12
A plane-wave DFT calculation with PBE-GGA was carried out for a relaxed MgCo2AgHg crystal.

Calculated values
* symmetry: No. 123
* calculated volume: 22.22 Å³ per atom
* E_tot: -2.713 eV/atom

a b c (Å): 4.7584 4.9062 4.7584
angles (deg): 90.00 90.00 90.00
Last column: nearest neighbours and their distance in Å.
Atoms (fractional coordinates):
Mg1 0.0000 0.5000 0.0000  2 Ag 2.45
Co1 0.0000 0.0000 0.5000  2 Ag 2.38
Co2 0.5000 0.0000 0.0000  2 Ag 2.38
Hg1 0.5000 0.5000 0.5000  4 Mg 3.36, 8 Co 3.42
Ag1 0.0000 0.0000 0.0000  4 Co 2.38, 2 Mg 2.45

Which value of calculated volume does entry 3 give?
17.15 Å³ per atom

The highest calculated volume belongs to which entry?
La4CoAgHg

Number 11 is which compound?
La4CoAgHg

What did the second record say?
A plane-wave DFT calculation with PBE-GGA was carried out for a relaxed CoAgHg crystal.

Calculated values
* symmetry: No. 216
* calculated volume: 19.31 Å³ per atom
* energy above the lowest structure with this stoichiometry: 0.1980 eV per atom
* E_tot: -2.816 eV/atom

a b c (Å): 4.3431 4.3431 4.3431
angles (deg): 60.00 60.00 60.00
Last column: nearest neighbours and their distance in Å.
Atoms (fractional coordinates):
Ag1 0.5000 0.5000 0.5000  4 Co 2.66
Co1 0.7500 0.7500 0.7500  4 Ag 2.66, 4 Hg 2.66
Hg1 0.0000 0.0000 0.0000  4 Co 2.66